1.
{"formula": "AgPF3", "functional": "PBE-GGA", "state": "relaxed", "relative_energy_ev_per_atom": 0.581, "final_energy_ev_per_atom": -3.0913, "formation_energy_uncorrected_mev_per_atom": -316, "dos_ef_per_ev_cell": 7.519, "cell": [[4.347, 0.000, 0.000], [0.000, 4.347, 0.000], [0.000, 0.000, 4.347]], "species": ["F", "F", "F", "Ag", "P"], "fractional_positions": [[0.500, 0.000, 0.000], [0.000, 0.000, 0.500], [0.000, 0.500, 0.000], [0.000, 0.000, 0.000], [0.500, 0.500, 0.500]]}

2.
{"formula": "Fe2RePt", "functional": "PBE-GGA", "state": "relaxed", "final_energy_ev_per_atom": -8.7601, "dos_ef_per_ev_cell": 3.720, "cell": [[4.347, 0.000, 0.000], [0.000, 2.629, 0.022], [0.000, 0.298, 4.875]], "species": ["Fe", "Fe", "Re", "Pt"], "fractional_positions": [[0.000, 0.033, 0.982], [0.000, 0.467, 0.518], [0.500, 0.750, 0.750], [0.500, 0.250, 0.250]]}